1.
{"formula": "Dy2TeI3", "functional": "PBE-GGA", "state": "optimized geometry", "lattice_angstrom": [[-2.385, -1.095, 3.325], [2.860, -10.574, 1.266], [7.119, 2.009, 8.466]], "species": ["I", "I", "I", "I", "I", "I", "Te", "Te", "Dy", "Dy", "Dy", "Dy"], "fractional_positions": [[0.674, 0.683, 0.969], [0.044, 0.176, 0.735], [0.224, 0.160, 0.392], [0.956, 0.824, 0.265], [0.776, 0.840, 0.608], [0.326, 0.317, 0.031], [0.601, 0.474, 0.324], [0.399, 0.526, 0.676], [0.415, 0.717, 0.454], [0.585, 0.283, 0.546], [0.859, 0.431, 0.850], [0.141, 0.569, 0.150]], "space_group": "No. 12", "m_tot_mub_per_atom": 0.0000, "vol_a3_per_cell": 506, "e_tot_ev_per_atom": -4.08, "formation_energy_uncorrected_ev_per_atom": -1.252}

=====

2.
{"formula": "Dy4TeI5", "functional": "PBE-GGA", "state": "optimized geometry", "lattice_angstrom": [[4.132, 0.000, 0.000], [0.000, 9.099, -0.076], [-2.066, -2.494, 9.382]], "species": ["I", "I", "I", "I", "I", "Dy", "Dy", "Dy", "Dy", "Te"], "fractional_positions": [[0.176, 0.813, 0.352], [0.840, 0.679, 0.679], [0.160, 0.321, 0.321], [0.500, 0.500, 0.000], [0.824, 0.187, 0.648], [0.653, 0.060, 0.307], [0.993, 0.223, 0.986], [0.007, 0.777, 0.014], [0.347, 0.940, 0.693], [0.500, 0.000, 0.000]], "space_group": "No. 12", "m_tot_mub_per_atom": 0.0000, "vol_a3_per_cell": 352, "e_tot_ev_per_atom": -4.04, "formation_energy_uncorrected_ev_per_atom": -1.108}

=====

3.
{"formula": "DyTeI", "functional": "PBE-GGA", "state": "optimized geometry", "lattice_angstrom": [[-1.785, 3.358, 0.497], [-3.388, -1.724, -0.511], [2.161, -2.105, 7.178]], "species": ["Dy", "I", "Te"], "fractional_positions": [[0.679, 0.679, 0.357], [0.035, 0.035, 0.070], [0.286, 0.286, 0.572]], "space_group": "No. 107", "m_tot_mub_per_atom": 0.0000, "vol_a3_per_cell": 107, "e_tot_ev_per_atom": -4.22, "formation_energy_uncorrected_ev_per_atom": -1.123, "polymorph_energy_mev_per_atom": 285}

=====

4.
{"formula": "DyTeI", "functional": "PBE-GGA", "state": "optimized geometry", "lattice_angstrom": [[-3.393, 0.386, -2.731], [-0.546, -1.869, 3.915], [-1.605, 6.600, 2.927]], "species": ["I", "Dy", "Te"], "fractional_positions": [[0.333, 0.667, 0.583], [0.667, 0.333, 0.317], [0.000, 0.000, 0.100]], "space_group": "No. 156", "m_tot_mub_per_atom": 0.0000, "vol_a3_per_cell": 122, "e_tot_ev_per_atom": -4.46, "formation_energy_uncorrected_ev_per_atom": -1.365, "polymorph_energy_mev_per_atom": 43}

=====

5.
{"formula": "DyTeI", "functional": "PBE-GGA", "state": "optimized geometry", "lattice_angstrom": [[4.316, -0.707, -0.103], [-3.386, 8.599, -1.282], [-0.156, -4.146, 7.989]], "species": ["I", "I", "Te", "Te", "Dy", "Dy"], "fractional_positions": [[0.494, 0.727, 0.998], [0.506, 0.273, 0.002], [0.498, 0.766, 0.505], [0.502, 0.234, 0.495], [0.983, 0.232, 0.722], [0.017, 0.768, 0.278]], "space_group": "No. 2", "m_tot_mub_per_atom": 0.0000, "vol_a3_per_cell": 253, "e_tot_ev_per_atom": -4.46, "formation_energy_uncorrected_ev_per_atom": -1.364, "polymorph_energy_mev_per_atom": 44}

=====

6.
{"formula": "Dy2TeI", "functional": "PBE-GGA", "state": "optimized geometry", "lattice_angstrom": [[3.986, 0.000, 0.000], [1.993, 3.452, 0.000], [1.993, 1.151, 8.493]], "species": ["I", "Dy", "Dy", "Te"], "fractional_positions": [[0.500, 0.500, 0.501], [0.254, 0.254, 0.237], [0.079, 0.079, 0.762], [0.667, 0.667, 0.000]], "space_group": "No. 160", "m_tot_mub_per_atom": 0.0000, "vol_a3_per_cell": 117, "e_tot_ev_per_atom": -4.43, "formation_energy_uncorrected_ev_per_atom": -0.951, "polymorph_energy_mev_per_atom": 0}

=====

7.
{"formula": "Dy3TeI7", "functional": "PBE-GGA", "state": "optimized geometry", "lattice_angstrom": [[-3.902, 4.234, 4.759], [-6.986, -0.513, -5.270], [1.190, -5.982, 6.296]], "species": ["I", "I", "I", "I", "I", "I", "I", "Dy", "Dy", "Dy", "Te"], "fractional_positions": [[0.555, 0.830, 0.170], [0.019, 0.660, 0.830], [0.019, 0.170, 0.830], [0.019, 0.170, 0.340], [0.555, 0.830, 0.659], [0.555, 0.341, 0.170], [0.022, 0.667, 0.333], [0.777, 0.012, 0.506], [0.777, 0.494, 0.506], [0.777, 0.494, 0.988], [0.543, 0.333, 0.667]], "space_group": "No. 156", "m_tot_mub_per_atom": 0.0000, "vol_a3_per_cell": 497, "e_tot_ev_per_atom": -3.91, "formation_energy_uncorrected_ev_per_atom": -1.386}

=====

8.
{"formula": "Dy2ThI", "functional": "PBE-GGA", "state": "optimized geometry", "lattice_angstrom": [[3.738, 0.000, 0.000], [1.869, 3.237, 0.000], [1.869, 1.079, 10.400]], "species": ["Dy", "Dy", "Th", "I"], "fractional_positions": [[0.254, 0.254, 0.238], [0.746, 0.746, 0.762], [0.500, 0.500, 0.500], [0.000, 0.000, 0.000]], "space_group": "No. 166", "m_tot_mub_per_atom": 0.0000, "vol_a3_per_cell": 126, "e_tot_ev_per_atom": -4.91, "formation_energy_uncorrected_ev_per_atom": -0.368, "polymorph_energy_mev_per_atom": 0}